First-principles (PBE-GGA) data for a relaxed Y4In5Au2 crystal, as listed in the Alexandria database.

Output
Energy of formation from the pure elements ... -0.585 eV per atom

a b c (Å): 3.6494 7.7802 9.8566
angles (deg): 94.77 90.00 90.00
Positions (direct):
Au (0.0000, 0.0727, 0.6382)
Au (0.0000, 0.9273, 0.3618)
In (0.0000, 0.1713, 0.1485)
In (0.0000, 0.8287, 0.8515)
In (0.0000, 0.4573, 0.6836)
In (0.0000, 0.5000, 0.0000)
In (0.0000, 0.5427, 0.3164)
Y (0.5000, 0.2373, 0.4374)
Y (0.5000, 0.7627, 0.5626)
Y (0.5000, 0.8153, 0.1322)
Y (0.5000, 0.1847, 0.8678)